# Rb2AlCl | Alexandria via LeMat-Bulk | GGA-PBE | optimized geometry
# - Polymorph energy (0 for the lowest one): 0.0 meV/atom
# - Total magnetization: 0.0 μB/cell
# - Uncorrected energy: -2.273 eV/atom
# - Uncorrected formation energy: -392 meV per atom
data_Rb2AlCl
_chemical_formula_sum 'Rb8 Al4 Cl4'
_space_group_name_H-M_alt 'I -4 2 d'
_space_group_IT_number 122
_space_group_name_Hall 'I -4 2bw'
_cell_length_a 9.371
_cell_length_b 9.371
_cell_length_c 8.663
_cell_angle_alpha 90.00
_cell_angle_beta 90.00
_cell_angle_gamma 90.00
loop_
_atom_site_label
_atom_site_type_symbol
_atom_site_fract_x
_atom_site_fract_y
_atom_site_fract_z
Rb1 Rb 0.193 0.750 0.125
Al1 Al 0.000 0.000 0.500
Cl1 Cl 0.000 0.000 0.000

---

# EuGeAs2 | Alexandria via LeMat-Bulk | GGA-PBE | optimized geometry
# - Total magnetization: 20.8 μB/cell
# - Uncorrected energy: -6.390 eV/atom
data_EuGeAs2
_chemical_formula_sum 'Eu3 Ge3 As6'
_space_group_name_H-M_alt 'R -3 m'
_space_group_IT_number 166
_space_group_name_Hall '-R 3 2"'
_cell_length_a 3.9574
_cell_length_b 3.9574
_cell_length_c 21.2773
_cell_angle_alpha 90.00
_cell_angle_beta 90.00
_cell_angle_gamma 120.00
loop_
_atom_site_label
_atom_site_type_symbol
_atom_site_fract_x
_atom_site_fract_y
_atom_site_fract_z
Eu1 Eu 0.0000 0.0000 0.0000
Ge1 Ge 0.0000 0.0000 0.5000
As1 As 0.0000 0.0000 0.2374

---

# RbRuRh | Alexandria via LeMat-Bulk | GGA-PBE | optimized geometry
# - Polymorph energy (0 for the lowest one): 1119.7 meV/atom
# - Total magnetization: 8.0 μB/cell
# - Uncorrected energy: -4.257 eV/atom
data_RbRuRh
_chemical_formula_sum 'Rb4 Ru4 Rh4'
_space_group_name_H-M_alt 'F -4 3 m'
_space_group_IT_number 216
_space_group_name_Hall 'F -4 2 3'
_cell_length_a 6.498
_cell_length_b 6.498
_cell_length_c 6.498
_cell_angle_alpha 90.00
_cell_angle_beta 90.00
_cell_angle_gamma 90.00
loop_
_atom_site_label
_atom_site_type_symbol
_atom_site_fract_x
_atom_site_fract_y
_atom_site_fract_z
Rb1 Rb 0.000 0.000 0.000
Ru1 Ru 0.250 0.250 0.250
Rh1 Rh 0.000 0.000 0.500

---

# Sm2InTe | Alexandria via LeMat-Bulk | GGA-PBE | optimized geometry
# - Polymorph energy (0 for the lowest one): 76.4 meV/atom
# - Total magnetization: 0.0 μB/cell
# - Uncorrected energy: -4.719 eV/atom
# - Uncorrected formation energy: -889 meV per atom
data_Sm2InTe
_chemical_formula_sum 'Sm6 In3 Te3'
_space_group_name_H-M_alt 'R -3 m'
_space_group_IT_number 166
_space_group_name_Hall '-R 3 2"'
_cell_length_a 4.2546
_cell_length_b 4.2546
_cell_length_c 23.9918
_cell_angle_alpha 90.00
_cell_angle_beta 90.00
_cell_angle_gamma 120.00
loop_
_atom_site_label
_atom_site_type_symbol
_atom_site_fract_x
_atom_site_fract_y
_atom_site_fract_z
Sm1 Sm 0.0000 0.0000 0.2484
In1 In 0.0000 0.0000 0.0000
Te1 Te 0.0000 0.0000 0.5000

---

# LaFeSn2Sb | Alexandria via LeMat-Bulk | GGA-PBE | optimized geometry
# - Total magnetization: 0.1 μB/cell
# - Uncorrected energy: -5.479 eV/atom
# - Uncorrected formation energy: -376 meV per atom
data_LaFeSn2Sb
_chemical_formula_sum 'La1 Fe1 Sn2 Sb1'
_space_group_name_H-M_alt 'P 4/m m m'
_space_group_IT_number 123
_space_group_name_Hall '-P 4 2'
_cell_length_a 4.972
_cell_length_b 4.972
_cell_length_c 5.115
_cell_angle_alpha 90.00
_cell_angle_beta 90.00
_cell_angle_gamma 90.00
loop_
_atom_site_label
_atom_site_type_symbol
_atom_site_fract_x
_atom_site_fract_y
_atom_site_fract_z
La1 La 0.000 0.000 0.000
Fe1 Fe 0.000 0.000 0.500
Sn1 Sn 0.000 0.500 0.500
Sb1 Sb 0.500 0.500 0.000

---

# PrAs | Alexandria via LeMat-Bulk | GGA-PBE | optimized geometry
# - Total magnetization: 0.0 μB/cell
# - Uncorrected energy: -6.216 eV/atom
data_PrAs
_chemical_formula_sum 'Pr4 As4'
_space_group_name_H-M_alt 'F m -3 m'
_space_group_IT_number 225
_space_group_name_Hall '-F 4 2 3'
_cell_length_a 6.092
_cell_length_b 6.092
_cell_length_c 6.092
_cell_angle_alpha 90.00
_cell_angle_beta 90.00
_cell_angle_gamma 90.00
loop_
_atom_site_label
_atom_site_type_symbol
_atom_site_fract_x
_atom_site_fract_y
_atom_site_fract_z
Pr1 Pr 0.000 0.000 0.000
As1 As 0.000 0.000 0.500

---

# Nd4ScCd5 | Alexandria via LeMat-Bulk | GGA-PBE | optimized geometry
# - Total magnetization: 1.8 μB/cell
# - Uncorrected energy: -3.298 eV/atom
data_Nd4ScCd5
_chemical_formula_sum 'Nd4 Sc1 Cd5'
_space_group_name_H-M_alt 'P 4/m m m'
_space_group_IT_number 123
_space_group_name_Hall '-P 4 2'
_cell_length_a 3.754
_cell_length_b 3.754
_cell_length_c 19.401
_cell_angle_alpha 90.00
_cell_angle_beta 90.00
_cell_angle_gamma 90.00
loop_
_atom_site_label
_atom_site_type_symbol
_atom_site_fract_x
_atom_site_fract_y
_atom_site_fract_z
Nd1 Nd 0.000 0.000 0.104
Nd2 Nd 0.000 0.000 0.311
Sc1 Sc 0.000 0.000 0.500
Cd1 Cd 0.500 0.500 0.000
Cd2 Cd 0.500 0.500 0.206
Cd3 Cd 0.500 0.500 0.417

---

# Sr2Tl3Sn | Alexandria via LeMat-Bulk | GGA-PBE | optimized geometry
# - Polymorph energy (0 for the lowest one): 48.6 meV/atom
# - Total magnetization: 0.0 μB/cell
# - Uncorrected energy: -2.741 eV/atom
data_Sr2Tl3Sn
_chemical_formula_sum 'Sr16 Tl24 Sn8'
_space_group_name_H-M_alt 'F m m m'
_space_group_IT_number 69
_space_group_name_Hall '-F 2 2'
_cell_length_a 7.677
_cell_length_b 10.998
_cell_length_c 18.379
_cell_angle_alpha 90.00
_cell_angle_beta 90.00
_cell_angle_gamma 90.00
loop_
_atom_site_label
_atom_site_type_symbol
_atom_site_fract_x
_atom_site_fract_y
_atom_site_fract_z
Sr1 Sr 0.250 0.000 0.000
Sr2 Sr 0.250 0.250 0.250
Tl1 Tl 0.000 0.000 0.167
Tl2 Tl 0.000 0.246 0.416
Sn1 Sn 0.000 0.000 0.335